Density functional theory data (GGA-PBEsol) for a relaxed structure of HfTcTeN2.

DOS(E_F): 3.12 states/eV per cell
calculated volume: 81 Å³/cell
raw formation energy: 0.53 eV/atom

Lattice parameters (Å, degrees): 3.907 3.907 5.329 90.00 90.00 90.00
Space group P4/mmm (No. 123)
Symmetry-distinct sites (fractional):
Hf1 0.000 0.000 0.000 (multiplicity 1)
Tc1 0.500 0.500 0.500 (multiplicity 1)
Te1 0.500 0.500 0.000 (multiplicity 1)
N1 0.000 0.500 0.500 (multiplicity 2)